# 1
# Y2ReCl

A relaxed Y2ReCl crystal (PBE, Alexandria via LeMat-Bulk).

POSCAR file:
```
Y2ReCl
1.0
3.461 0.022 -0.011
0.315 3.446 -0.011
2.467 2.266 7.999
Re Y Cl
1 2 1
Cartesian
1.561 1.434 1.994 Re
3.473 3.191 3.650 Y
3.423 3.145 0.316 Y
4.682 4.301 5.983 Cl
```

Properties
spin magnetization: 0.00 μB/cell
polymorph energy (0 for the lowest one): 39 meV per atom
N(E_F): 0.56 states/eV/atom

=====

# 2
# SrCeMg

A relaxed SrCeMg crystal (PBE, Alexandria via LeMat-Bulk).

POSCAR file:
```
SrCeMg
1.0
-0.793 -3.611 -1.335
-0.185 -1.380 3.676
-12.143 7.404 -1.823
Mg Ce Sr
2 2 2
Cartesian
-3.632 2.095 -0.492 Mg
-9.489 0.318 1.010 Mg
-6.009 0.074 0.696 Ce
-7.112 2.340 -0.179 Ce
-1.861 -0.899 0.626 Sr
-11.259 3.312 -0.108 Sr
```

Properties
spin magnetization: 1.43 μB/cell
polymorph energy (0 for the lowest one): 0 meV per atom
N(E_F): 2.05 states/eV/atom
energy relative to the elements: 33 meV per atom

=====

# 3
# Mg14SiSn

A relaxed Mg14SiSn crystal (PBE, Alexandria via LeMat-Bulk).

POSCAR file:
```
Mg14SiSn
1.0
3.193 -5.530 0.000
3.193 5.530 0.000
0.000 0.000 9.999
Mg Si Sn
14 1 1
Cartesian
4.779 2.759 0.000 Mg
1.615 -2.754 5.000 Mg
3.193 -1.843 2.491 Mg
3.193 0.012 0.000 Mg
3.193 3.701 2.584 Mg
3.193 -1.843 7.508 Mg
1.585 0.915 2.584 Mg
4.801 0.915 7.415 Mg
1.585 0.915 7.415 Mg
4.801 0.915 2.584 Mg
3.193 3.701 7.415 Mg
1.607 2.759 0.000 Mg
3.193 -0.022 5.000 Mg
4.771 -2.754 5.000 Mg
0.000 0.000 5.000 Si
0.000 0.000 0.000 Sn
```

Properties
spin magnetization: 0.00 μB/cell
energy: -31.69 eV for the cell shown
N(E_F): 0.48 states/eV/atom

=====

# 4
# SrTlS3

A relaxed SrTlS3 crystal (PBE, Alexandria via LeMat-Bulk).

POSCAR file:
```
SrTlS3
1.0
-0.817 -2.911 -4.153
4.272 -2.662 1.026
-2.734 -3.290 2.844
Tl S Sr
1 3 1
Cartesian
0.000 0.000 0.000 Tl
-0.408 -1.456 -2.077 S
-1.367 -1.645 1.422 S
2.136 -1.331 0.513 S
0.361 -4.432 -0.141 Sr
```

Properties
spin magnetization: 0.00 μB/cell
polymorph energy (0 for the lowest one): 0 meV per atom
N(E_F): 0.82 states/eV/atom